A plane-wave DFT calculation with PBE-GGA was carried out for an optimized crystal structure of In2OsSe.

Cell: 6.828 6.828 6.828 Å, 153.89 140.37 48.07°
Fractional coordinates of all 4 atoms:
1 In 0.002 0.002 0.000
2 In 0.689 0.189 0.500
3 Os 0.483 0.483 0.000
4 Se 0.326 0.826 0.500

- formation energy (no corrections) (eV/f.u.) = 0.733
- density (g cm⁻³) = 9.30
- space group = Imm2, No. 44